Record 1
Density functional theory data (GGA-PBE) for Tb4MgGa2Ru after structural relaxation.

Structure (POSCAR):
```
Tb4MgGa2Ru
1.0
2.542 1.468 8.279
-2.542 1.468 8.279
0.000 -2.935 8.279
Tb Mg Ga Ru
4 1 2 1
Cartesian
0.000 0.000 2.835 Tb
0.000 0.000 9.117 Tb
0.000 0.000 15.721 Tb
0.000 0.000 22.002 Tb
0.000 0.000 12.419 Mg
0.000 0.000 5.953 Ga
0.000 0.000 18.885 Ga
0.000 0.000 0.000 Ru
```

- total DFT energy (no corrections) (eV/atom) = -4.86
- M_tot (μB per cell) = 0.00
- space-group type = R-3m
- energy of formation (kJ/mol of formula units) = -333

---

Record 2
Density functional theory data (GGA-PBE) for Er4Ni3Ag after structural relaxation.

Structure (POSCAR):
```
Er4Ni3Ag
1.0
3.665 0.000 0.000
0.000 4.436 0.000
0.000 0.000 10.143
Er Ni Ag
4 3 1
Cartesian
0.000 0.000 0.000 Er
0.000 2.218 2.665 Er
1.833 0.000 4.784 Er
1.833 2.218 7.821 Er
0.000 2.218 5.515 Ni
1.833 0.000 2.035 Ni
1.833 2.218 0.529 Ni
0.000 0.000 7.115 Ag
```

- total DFT energy (no corrections) (eV/atom) = -5.22
- M_tot (μB per cell) = 0.00
- space-group type = Pmm2
- energy of formation (kJ/mol of formula units) = -316

---

Record 3
Density functional theory data (GGA-PBE) for TePS3 after structural relaxation.

Structure (POSCAR):
```
TePS3
1.0
6.890 0.000 0.000
0.000 10.921 0.000
-5.263 0.000 8.379
Te P S
4 4 12
Cartesian
0.383 1.994 1.687 Te
-2.249 3.467 5.876 Te
3.876 7.454 2.503 Te
1.244 8.927 6.693 Te
-2.020 0.896 3.839 P
-4.652 4.564 8.029 P
6.279 6.356 0.350 P
3.647 10.025 4.540 P
-1.124 5.785 2.269 S
-3.756 10.596 6.459 S
0.664 8.006 0.368 S
-1.967 8.375 4.558 S
-0.519 1.245 5.101 S
2.113 4.215 0.911 S
-0.486 6.706 7.468 S
2.146 9.675 3.278 S
3.595 2.546 3.822 S
0.963 2.915 8.011 S
5.383 0.325 1.920 S
2.752 5.136 6.110 S
```

- distance to the lowest polymorph of the same formula (kJ/mol of atoms) = 0.0
- ΔE_f (raw) (meV per atom) = -45
- total DFT energy (no corrections) (eV/atom) = -4.23
- M_tot (μB per cell) = 0.00
- space-group type = P2_1/c

---

Record 4
Density functional theory data (GGA-PBE) for Ac4Te2SN2 after structural relaxation.

Structure (POSCAR):
```
Ac4Te2SN2
1.0
8.217 -2.163 0.000
8.217 2.163 0.000
-2.659 0.000 7.521
Ac Te S N
4 2 1 2
Cartesian
-0.121 0.000 1.997 Ac
3.835 0.000 2.572 Ac
9.940 0.000 4.950 Ac
13.897 0.000 5.524 Ac
3.537 0.000 7.250 Te
10.239 0.000 0.272 Te
6.888 0.000 3.761 S
1.557 0.000 3.613 N
12.219 0.000 3.909 N
```

- ΔE_f (raw) (meV per atom) = -1659
- total DFT energy (no corrections) (eV/atom) = -6.49
- M_tot (μB per cell) = 0.00
- space-group type = C2/m

---

Record 5
Density functional theory data (GGA-PBE) for Re4Ir5 after structural relaxation.

Structure (POSCAR):
```
Re4Ir5
1.0
-4.119 4.119 1.945
4.119 -4.119 1.945
4.119 4.119 -1.945
Re Ir
4 5
Cartesian
2.770 0.000 0.000 Re
5.468 0.000 0.000 Re
0.000 2.770 0.000 Re
0.000 5.468 0.000 Re
0.000 0.000 0.000 Ir
2.730 2.730 0.000 Ir
1.390 -1.390 1.945 Ir
-1.390 1.390 1.945 Ir
1.390 1.390 1.945 Ir
```

- distance to the lowest polymorph of the same formula (kJ/mol of atoms) = 0.0
- total DFT energy (no corrections) (eV/atom) = -10.58
- M_tot (μB per cell) = 0.00
- space-group type = I4/mmm
- energy of formation (kJ/mol of formula units) = -106

---

Record 6
Density functional theory data (GGA-PBE) for LaPr4Dy10 after structural relaxation.

Structure (POSCAR):
```
LaPr4Dy10
1.0
-4.940 4.940 5.464
4.940 -4.940 5.464
4.940 4.940 -5.464
La Pr Dy
1 4 10
Cartesian
0.000 0.000 0.000 La
5.440 2.107 0.000 Pr
2.107 4.440 0.000 Pr
2.833 0.500 5.464 Pr
-0.500 2.833 5.464 Pr
7.740 -1.218 1.852 Dy
3.722 -2.800 3.612 Dy
4.940 0.000 2.732 Dy
2.140 1.218 1.852 Dy
-1.218 2.140 1.852 Dy
6.158 2.800 3.612 Dy
2.800 3.722 3.612 Dy
0.000 4.940 2.732 Dy
1.218 7.740 1.852 Dy
-2.800 6.158 3.612 Dy
```

- total DFT energy (no corrections) (eV/atom) = -4.24
- M_tot (μB per cell) = 0.00
- space-group type = I4/m
- energy of formation (kJ/mol of formula units) = 623

---

Record 7
Density functional theory data (GGA-PBE) for PmNd2Pd9 after structural relaxation.

Structure (POSCAR):
```
PmNd2Pd9
1.0
4.199 0.000 0.000
0.000 4.199 0.000
0.000 0.000 12.594
Pm Nd Pd
1 2 9
Cartesian
0.000 0.000 0.000 Pm
0.000 0.000 4.190 Nd
0.000 0.000 8.404 Nd
0.000 2.099 2.086 Pd
0.000 2.099 6.297 Pd
0.000 2.099 10.509 Pd
2.099 0.000 2.086 Pd
2.099 0.000 6.297 Pd
2.099 0.000 10.509 Pd
2.099 2.099 0.000 Pd
2.099 2.099 4.195 Pd
2.099 2.099 8.400 Pd
```

- total DFT energy (no corrections) (eV/atom) = -5.85
- M_tot (μB per cell) = 0.00
- space-group type = P4/mmm
- energy of formation (kJ/mol of formula units) = -891

---

Record 8
Density functional theory data (GGA-PBE) for Ca2Ga2Rh after structural relaxation.

Structure (POSCAR):
```
Ca2Ga2Rh
1.0
5.375 -2.206 0.000
5.375 2.206 0.000
-5.106 0.000 9.538
Ca Ga Rh
4 4 2
Cartesian
-1.681 0.000 3.174 Ca
1.521 0.000 1.081 Ca
4.123 0.000 8.457 Ca
7.325 0.000 6.364 Ca
1.477 0.000 4.165 Ga
0.875 0.000 8.362 Ga
4.769 0.000 1.175 Ga
4.168 0.000 5.373 Ga
-0.223 0.000 6.061 Rh
5.868 0.000 3.477 Rh
```

- distance to the lowest polymorph of the same formula (kJ/mol of atoms) = 0.0
- total DFT energy (no corrections) (eV/atom) = -4.08
- M_tot (μB per cell) = 0.00
- space-group type = C2/m
- energy of formation (kJ/mol of formula units) = -288

---

Record 9
Density functional theory data (GGA-PBE) for Mg2ZrZn2Pd2 after structural relaxation.

Structure (POSCAR):
```
Mg2ZrZn2Pd2
1.0
3.961 -2.295 0.000
3.961 2.295 0.000
-2.661 0.000 6.671
Mg Zr Zn Pd
2 1 2 2
Cartesian
-0.009 0.000 1.608 Mg
5.270 0.000 5.063 Mg
2.631 0.000 3.335 Zr
2.641 0.000 0.450 Zn
2.621 0.000 6.220 Zn
-0.008 0.000 4.528 Pd
5.269 0.000 2.143 Pd
```

- total DFT energy (no corrections) (eV/atom) = -3.96
- M_tot (μB per cell) = 0.00
- space-group type = C2/m
- energy of formation (kJ/mol of formula units) = -295

---

Record 10
Density functional theory data (GGA-PBE) for Ce2CoCu after structural relaxation.

Structure (POSCAR):
```
Ce2CoCu
1.0
1.470 0.849 10.206
-1.470 0.849 10.206
0.000 -1.697 10.206
Ce Co Cu
2 1 1
Cartesian
0.000 0.000 2.847 Ce
0.000 0.000 27.770 Ce
0.000 0.000 15.309 Co
0.000 0.000 0.000 Cu
```

- distance to the lowest polymorph of the same formula (kJ/mol of atoms) = 46.6
- total DFT energy (no corrections) (eV/atom) = -5.36
- M_tot (μB per cell) = 0.55
- space-group type = R-3m
- energy of formation (kJ/mol of formula units) = 156

---

Record 11
Density functional theory data (GGA-PBE) for Ca2TaTc after structural relaxation.

Structure (POSCAR):
```
Ca2TaTc
1.0
-1.741 2.756 5.152
1.741 -2.756 5.152
1.741 2.756 -5.152
Ca Ta Tc
2 1 1
Cartesian
0.000 0.000 0.000 Ca
0.000 2.756 2.123 Ca
1.741 0.000 3.009 Ta
0.000 0.000 4.681 Tc
```

- distance to the lowest polymorph of the same formula (kJ/mol of atoms) = 18.6
- total DFT energy (no corrections) (eV/atom) = -6.20
- M_tot (μB per cell) = 0.00
- space-group type = Imm2
- energy of formation (kJ/mol of formula units) = 136

---

Record 12
Density functional theory data (GGA-PBE) for NdDy6Ho2Er after structural relaxation.

Structure (POSCAR):
```
NdDy6Ho2Er
1.0
4.535 -7.501 0.000
4.535 7.501 0.000
-1.148 0.000 9.437
Nd Dy Ho Er
2 12 4 2
Cartesian
3.674 7.120 7.077 Nd
4.248 -7.120 2.359 Nd
1.853 4.118 6.450 Dy
3.899 4.708 0.535 Dy
4.596 4.708 4.184 Dy
2.619 1.632 8.319 Dy
5.495 4.118 7.705 Dy
4.729 1.632 5.836 Dy
3.193 -1.632 3.601 Dy
2.427 -4.118 1.731 Dy
5.303 -1.632 1.118 Dy
3.325 -4.708 5.253 Dy
4.022 -4.708 8.902 Dy
6.069 -4.118 2.987 Dy
1.660 0.788 5.157 Ho
2.234 -0.788 0.438 Ho
5.688 0.788 8.998 Ho
6.262 -0.788 4.280 Ho
4.248 1.353 2.359 Er
3.674 -1.353 7.077 Er
```

- total DFT energy (no corrections) (eV/atom) = -4.49
- M_tot (μB per cell) = 0.00
- space-group type = C2/c
- energy of formation (kJ/mol of formula units) = 116

---

Record 13
Density functional theory data (GGA-PBE) for HfTlS2 after structural relaxation.

Structure (POSCAR):
```
HfTlS2
1.0
0.000 3.396 3.396
3.396 0.000 3.396
3.396 3.396 0.000
Hf Tl S
1 1 2
Cartesian
0.000 0.000 0.000 Hf
3.396 3.396 3.396 Tl
1.698 1.698 1.698 S
5.093 5.093 5.093 S
```

- ΔE_f (raw) (meV per atom) = -371
- total DFT energy (no corrections) (eV/atom) = -5.51
- M_tot (μB per cell) = 0.93
- space-group type = Fm-3m

---

Record 14
Density functional theory data (GGA-PBE) for Tl2AgMo after structural relaxation.

Structure (POSCAR):
```
Tl2AgMo
1.0
3.001 0.000 0.000
0.000 3.001 0.000
0.000 0.000 9.794
Tl Ag Mo
2 1 1
Cartesian
0.000 0.000 0.000 Tl
1.501 1.501 3.011 Tl
0.000 0.000 5.583 Ag
1.501 1.501 7.514 Mo
```

- distance to the lowest polymorph of the same formula (kJ/mol of atoms) = 1.1
- total DFT energy (no corrections) (eV/atom) = -4.04
- M_tot (μB per cell) = 0.00
- space-group type = P4mm
- energy of formation (kJ/mol of formula units) = 219

---

Record 15
Density functional theory data (GGA-PBE) for TlSiO2 after structural relaxation.

Structure (POSCAR):
```
TlSiO2
1.0
0.000 3.001 3.001
3.001 0.000 3.001
3.001 3.001 0.000
Tl Si O
1 1 2
Cartesian
0.000 0.000 0.000 Tl
3.001 3.001 3.001 Si
1.501 1.501 1.501 O
4.502 4.502 4.502 O
```

- distance to the lowest polymorph of the same formula (kJ/mol of atoms) = 156.9
- ΔE_f (raw) (meV per atom) = 36
- total DFT energy (no corrections) (eV/atom) = -4.39
- M_tot (μB per cell) = 0.00
- space-group type = Fm-3m

---

Record 16
Density functional theory data (GGA-PBE) for CsLi2Sb2 after structural relaxation.

Structure (POSCAR):
```
CsLi2Sb2
1.0
3.495 -7.427 0.000
3.495 7.427 0.000
-2.420 0.000 6.101
Cs Li Sb
2 4 4
Cartesian
1.680 5.820 4.576 Cs
2.890 -5.820 1.525 Cs
2.890 3.757 1.525 Li
2.890 0.360 1.525 Li
1.680 -0.360 4.576 Li
1.680 -3.757 4.576 Li
0.498 2.105 5.342 Sb
2.862 2.105 3.809 Sb
1.708 -2.105 2.292 Sb
4.072 -2.105 0.759 Sb
```

- distance to the lowest polymorph of the same formula (kJ/mol of atoms) = 0.6
- ΔE_f (raw) (meV per atom) = -439
- total DFT energy (no corrections) (eV/atom) = -3.02
- M_tot (μB per cell) = 0.00
- space-group type = C2/c

---

Record 17
Density functional theory data (GGA-PBE) for TlHI2 after structural relaxation.

Structure (POSCAR):
```
TlHI2
1.0
7.951 0.000 0.000
0.000 8.916 0.000
-2.557 0.000 8.577
Tl H I
4 4 8
Cartesian
0.549 0.539 2.491 Tl
-0.729 3.919 6.780 Tl
6.123 4.996 1.797 Tl
4.845 8.377 6.086 Tl
1.401 6.102 5.543 H
2.679 7.271 1.255 H
2.715 1.644 7.322 H
3.993 2.814 3.034 H
0.746 6.678 0.212 I
-0.533 6.696 4.501 I
1.384 0.962 6.467 I
2.663 3.495 2.179 I
2.731 5.420 6.398 I
4.010 7.953 2.109 I
5.927 2.220 4.076 I
4.649 2.238 8.365 I
```

- distance to the lowest polymorph of the same formula (kJ/mol of atoms) = 0.0
- total DFT energy (no corrections) (eV/atom) = -2.51
- M_tot (μB per cell) = 0.00
- space-group type = P2_1/c

---

Record 18
Density functional theory data (GGA-PBE) for Li2CaSc2Sn2 after structural relaxation.

Structure (POSCAR):
```
Li2CaSc2Sn2
1.0
2.362 1.364 8.658
-2.362 1.364 8.658
0.000 -2.727 8.658
Li Ca Sc Sn
2 1 2 2
Cartesian
0.000 0.000 2.009 Li
0.000 0.000 23.965 Li
0.000 0.000 12.987 Ca
0.000 0.000 9.533 Sc
0.000 0.000 16.441 Sc
0.000 0.000 6.430 Sn
0.000 0.000 19.545 Sn
```

- total DFT energy (no corrections) (eV/atom) = -4.25
- M_tot (μB per cell) = 0.47
- space-group type = R-3m
- energy of formation (kJ/mol of formula units) = -312

---

Record 19
Density functional theory data (GGA-PBE) for LaCe2Pb2 after structural relaxation.

Structure (POSCAR):
```
LaCe2Pb2
1.0
4.828 -2.786 0.000
4.828 2.786 0.000
-0.015 0.000 6.580
La Ce Pb
1 2 2
Cartesian
0.000 0.000 0.000 La
3.219 0.000 1.857 Ce
6.422 0.000 4.723 Ce
3.204 0.000 5.124 Pb
6.438 0.000 1.456 Pb
```

- distance to the lowest polymorph of the same formula (kJ/mol of atoms) = 13.4
- total DFT energy (no corrections) (eV/atom) = -5.12
- M_tot (μB per cell) = 2.80
- space-group type = C2/m
- energy of formation (kJ/mol of formula units) = -135

---

Record 20
Density functional theory data (GGA-PBE) for TlTe2Ir after structural relaxation.

Structure (POSCAR):
```
TlTe2Ir
1.0
-1.899 3.079 5.099
1.899 -3.079 5.099
1.899 3.079 -5.099
Tl Te Ir
1 2 1
Cartesian
0.000 0.000 0.000 Tl
1.899 0.000 3.315 Te
0.000 3.079 1.784 Te
0.000 0.000 5.099 Ir
```

- distance to the lowest polymorph of the same formula (kJ/mol of atoms) = 29.3
- ΔE_f (raw) (meV per atom) = 78
- total DFT energy (no corrections) (eV/atom) = -4.30
- M_tot (μB per cell) = 0.00
- space-group type = Immm